HfMg2Cu | SCAN | PBEsol geometry

Energy of formation = 0.3013 eV per atom

a b c (Å): 6.5827 6.5827 6.5827
angles (deg): 90.00 90.00 90.00
Last column: nearest neighbours and their distance in Å.
Space group Fm-3m (No. 225)
Unique sites:
Hf  0.0000  0.0000  0.0000  8 Mg 2.85
Mg  0.2500  0.2500  0.2500  4 Hf 2.85, 4 Cu 2.85
Cu  0.0000  0.0000  0.5000  8 Mg 2.85